1.
DFT (GGA-PBE) results for an optimized crystal structure of SmHo2Ga2Cu2.

Cell: 4.3998 4.3998 27.4195 Å, 90.00 90.00 120.00°
Space group R-3m (No. 166, hexagonal axes)
Inequivalent atoms, fractional coordinates:
Sm 0.0000 0.0000 0.0000
Ho 0.0000 0.0000 0.1248
Ga 0.0000 0.0000 0.2606
Cu 0.0000 0.0000 0.4022

ΔH_f (0 K)	-0.39	eV per atom
electronic total energy	-92.585	eV for the cell shown
M_tot	0.00	μB/cell

---

2.
DFT (GGA-PBE) results for an optimized crystal structure of PrIrI.

Cell: 7.5848 4.3794 12.1703 Å, 90.00 91.34 90.00°
Space group C2/m (No. 12)
Inequivalent atoms, fractional coordinates:
Pr 0.0059 0.0000 0.1566
Ir 0.1666 0.5000 0.9980
I 0.1793 0.5000 0.3339

offset from the most stable computed form	0.0	meV per atom
ΔE_f (raw)	-1.059	eV/atom
electronic total energy	-73.472	eV for the cell shown
M_tot	0.00	μB/cell

---

3.
DFT (GGA-PBE) results for an optimized crystal structure of SrIn2Fe.

Cell: 7.8802 4.5440 6.6430 Å, 90.00 113.20 90.00°
Space group C2/m (No. 12)
Inequivalent atoms, fractional coordinates:
Sr 0.0000 0.0000 0.0000
In 0.2120 0.0000 0.6365
Fe 0.0000 0.5000 0.5000

ΔH_f (0 K)	0.04	eV per atom
electronic total energy	-30.950	eV for the cell shown
M_tot	5.35	μB/cell

---

4.
DFT (GGA-PBE) results for an optimized crystal structure of CoTcAg2.

Cell: 2.7666 2.7666 27.7396 Å, 90.00 90.00 120.00°
Space group R3m (No. 160, hexagonal axes)
Inequivalent atoms, fractional coordinates:
Co 0.0000 0.0000 0.0000
Tc 0.0000 0.0000 0.7362
Ag 0.0000 0.0000 0.2508
Ag 0.0000 0.0000 0.4924

ΔH_f (0 K)	0.31	eV per atom
offset from the most stable computed form	51.5	meV per atom
electronic total energy	-65.746	eV for the cell shown
M_tot	5.35	μB/cell

---

5.
DFT (GGA-PBE) results for an optimized crystal structure of TaAs2SeO.

Cell: 4.2029 4.2029 4.6476 Å, 90.00 90.00 90.00°
Space group P4/mmm (No. 123)
Inequivalent atoms, fractional coordinates:
Ta 0.0000 0.0000 0.0000
As 0.0000 0.5000 0.5000
Se 0.5000 0.5000 0.0000
O 0.5000 0.5000 0.5000

offset from the most stable computed form	135.2	meV per atom
ΔE_f (raw)	0.314	eV/atom
electronic total energy	-28.024	eV for the cell shown
M_tot	0.00	μB/cell

---

6.
DFT (GGA-PBE) results for an optimized crystal structure of ZrTeIr3.

Cell: 4.8976 4.8976 4.8976 Å, 90.00 90.00 90.00°
Space group Pm-3m (No. 221)
Inequivalent atoms, fractional coordinates:
Zr 0.0000 0.0000 0.0000
Te 0.5000 0.5000 0.5000
Ir 0.0000 0.0000 0.5000

offset from the most stable computed form	315.4	meV per atom
ΔE_f (raw)	1.481	eV/atom
electronic total energy	-30.867	eV for the cell shown
M_tot	0.00	μB/cell

---

7.
DFT (GGA-PBE) results for an optimized crystal structure of SmThN2.

Cell: 6.2953 3.6376 6.2644 Å, 90.00 109.47 90.00°
Space group C2/m (No. 12)
Inequivalent atoms, fractional coordinates:
Sm 0.0000 0.0000 0.0000
Th 0.0000 0.5000 0.5000
N 0.2470 0.0000 0.7411

ΔE_f (raw)	-1.559	eV/atom
electronic total energy	-70.054	eV for the cell shown
M_tot	0.00	μB/cell

---

8.
DFT (GGA-PBE) results for an optimized crystal structure of BaBiIr.

Cell: 5.4467 4.3303 9.2225 Å, 90.00 106.93 90.00°
Space group Pm (No. 6)
Inequivalent atoms, fractional coordinates:
Ba 0.0000 0.0000 0.0000
Ba 0.2354 0.0000 0.4772
Bi 0.5165 0.5000 0.0339
Bi 0.8354 0.5000 0.6772
Ir 0.6209 0.0000 0.2438
Ir 0.6854 0.5000 0.3788

ΔH_f (0 K)	-0.28	eV per atom
electronic total energy	-31.034	eV for the cell shown
M_tot	0.00	μB/cell

---

9.
DFT (GGA-PBE) results for an optimized crystal structure of NaSmHoIn.

Cell: 7.6824 7.6824 7.6824 Å, 90.00 90.00 90.00°
Space group F-43m (No. 216)
Inequivalent atoms, fractional coordinates:
Na 0.0000 0.0000 0.0000
Sm 0.2500 0.2500 0.7500
Ho 0.2500 0.2500 0.2500
In 0.0000 0.0000 0.5000

ΔH_f (0 K)	-0.13	eV per atom
electronic total energy	-55.488	eV for the cell shown
M_tot	0.00	μB/cell

---

10.
DFT (GGA-PBE) results for an optimized crystal structure of Mg2Os3.

Cell: 2.7857 2.7857 34.2941 Å, 90.00 90.00 120.00°
Space group R-3m (No. 166, hexagonal axes)
Inequivalent atoms, fractional coordinates:
Mg 0.0000 0.0000 0.0990
Os 0.0000 0.0000 0.3028
Os 0.0000 0.0000 0.5000

ΔH_f (0 K)	0.24	eV per atom
offset from the most stable computed form	0.0	meV per atom
electronic total energy	-106.968	eV for the cell shown
M_tot	0.00	μB/cell

---

11.
DFT (GGA-PBE) results for an optimized crystal structure of Ce3P6Pd2Ru.

Cell: 5.7746 5.7746 7.5919 Å, 90.00 90.00 120.00°
Space group P-3m1 (No. 164)
Inequivalent atoms, fractional coordinates:
Ce 0.0000 0.0000 0.0000
Ce 0.3333 0.6667 0.6383
P 0.1843 0.3685 0.2948
Pd 0.3333 0.6667 0.0305
Ru 0.0000 0.0000 0.5000

ΔH_f (0 K)	-0.71	eV per atom
electronic total energy	-78.439	eV for the cell shown
M_tot	0.00	μB/cell

---

12.
DFT (GGA-PBE) results for an optimized crystal structure of Mn2HgW.

Cell: 4.4978 4.4978 3.0561 Å, 90.00 90.00 90.00°
Space group P4/mmm (No. 123)
Inequivalent atoms, fractional coordinates:
Mn 0.0000 0.5000 0.0000
Hg 0.0000 0.0000 0.5000
W 0.5000 0.5000 0.5000

ΔH_f (0 K)	0.50	eV per atom
electronic total energy	-29.609	eV for the cell shown
M_tot	4.60	μB/cell

---

13.
DFT (GGA-PBE) results for an optimized crystal structure of Be5NbCr.

Cell: 7.1224 4.3650 8.9191 Å, 90.00 90.00 90.00°
Space group Pnma (No. 62)
Inequivalent atoms, fractional coordinates:
Be 0.0529 0.2500 0.1165
Be 0.0724 0.5086 0.3168
Be 0.0883 0.7500 0.5182
Be 0.1854 0.7500 0.7503
Nb 0.2425 0.7500 0.0701
Cr 0.1188 0.2500 0.8741

ΔH_f (0 K)	-0.13	eV per atom
electronic total energy	-156.892	eV for the cell shown
M_tot	2.60	μB/cell

---

14.
DFT (GGA-PBE) results for an optimized crystal structure of Na3InGa.

Cell: 5.6116 5.6116 5.6116 Å, 90.00 90.00 90.00°
Space group Pm-3m (No. 221)
Inequivalent atoms, fractional coordinates:
Na 0.0000 0.0000 0.5000
In 0.5000 0.5000 0.5000
Ga 0.0000 0.0000 0.0000

ΔH_f (0 K)	0.25	eV per atom
offset from the most stable computed form	266.4	meV per atom
electronic total energy	-8.456	eV for the cell shown
M_tot	0.00	μB/cell